[1]
DFT (PBE-GGA) results for a relaxed structure of Ca3PdPt.

Its final energy is -18.969 eV/cell. As for the excess energy over the best structure of this formula in the dataset: 179 kJ/mol of formula units. The value obtained for the volume is 31.8 Å³ per atom.

Structure (CIF):
```
data_Ca3PdPt
_chemical_formula_sum 'Ca3 Pd1 Pt1'
_cell_length_a 5.416
_cell_length_b 5.416
_cell_length_c 5.416
_cell_angle_alpha 90.00
_cell_angle_beta 90.00
_cell_angle_gamma 90.00
_symmetry_space_group_name_H-M 'P m -3 m'
_symmetry_Int_Tables_number 221
_symmetry_space_group_name_Hall '-P 4 2 3'
loop_
_atom_site_label
_atom_site_type_symbol
_atom_site_fract_x
_atom_site_fract_y
_atom_site_fract_z
Ca1 Ca 0.000 0.000 0.500
Pd1 Pd 0.500 0.500 0.500
Pt1 Pt 0.000 0.000 0.000
```

[2]
DFT (PBE-GGA) results for a relaxed structure of DyTlGe.

Its final energy is -24.506 eV/cell. The value obtained for the volume is 28.7 Å³ per atom.

Structure (CIF):
```
data_DyTlGe
_chemical_formula_sum 'Dy2 Tl2 Ge2'
_cell_length_a 4.041
_cell_length_b 4.041
_cell_length_c 10.563
_cell_angle_alpha 90.00
_cell_angle_beta 90.00
_cell_angle_gamma 90.00
_symmetry_space_group_name_H-M 'P 4/n m m'
_symmetry_Int_Tables_number 129
loop_
_symmetry_equiv_pos_as_xyz
'x,y,z'
'-x,-y,-z'
'-y+1/2,x,z'
'y+1/2,-x,-z'
'-x+1/2,-y+1/2,z'
'x+1/2,y+1/2,-z'
'y,-x+1/2,z'
'-y,x+1/2,-z'
'x+1/2,-y,-z'
'-x+1/2,y,z'
'-y,-x,-z'
'y,x,z'
'-x,y+1/2,-z'
'x,-y+1/2,z'
'y+1/2,x+1/2,-z'
'-y+1/2,-x+1/2,z'
loop_
_atom_site_label
_atom_site_type_symbol
_atom_site_fract_x
_atom_site_fract_y
_atom_site_fract_z
Dy1 Dy 0.250 0.250 0.107
Tl1 Tl 0.250 0.250 0.401
Ge1 Ge 0.250 0.250 0.825
```

[3]
DFT (PBE-GGA) results for a relaxed structure of Tl2PtCl.

Its final energy is -27.267 eV/cell. As for the excess energy over the best structure of this formula in the dataset: 28 kJ/mol of formula units. The value obtained for the volume is 23.4 Å³ per atom. For the energy relative to the elements, uncorrected, the calculation gives -0.25 eV/atom.

Structure (CIF):
```
data_Tl2PtCl
_chemical_formula_sum 'Tl4 Pt2 Cl2'
_cell_length_a 5.087
_cell_length_b 3.231
_cell_length_c 11.382
_cell_angle_alpha 90.00
_cell_angle_beta 90.00
_cell_angle_gamma 90.00
_symmetry_space_group_name_H-M 'A m m 2'
_symmetry_Int_Tables_number 38
_symmetry_space_group_name_Hall 'A 2 -2'
loop_
_atom_site_label
_atom_site_type_symbol
_atom_site_fract_x
_atom_site_fract_y
_atom_site_fract_z
Tl1 Tl 0.000 0.000 0.000
Tl2 Tl 0.500 0.000 0.249
Pt1 Pt 0.000 0.000 0.743
Cl1 Cl 0.500 0.000 0.504
```

[4]
DFT (PBE-GGA) results for a relaxed structure of AlBiSb3.

Its final energy is -17.744 eV/cell. As for the excess energy over the best structure of this formula in the dataset: 0 kJ/mol of formula units. The value obtained for the volume is 29.8 Å³ per atom. For the energy relative to the elements, uncorrected, the calculation gives 0.45 eV/atom.

Structure (CIF):
```
data_AlBiSb3
_chemical_formula_sum 'Al1 Bi1 Sb3'
_cell_length_a 5.300
_cell_length_b 5.300
_cell_length_c 5.300
_cell_angle_alpha 90.00
_cell_angle_beta 90.00
_cell_angle_gamma 90.00
_symmetry_space_group_name_H-M 'P m -3 m'
_symmetry_Int_Tables_number 221
_symmetry_space_group_name_Hall '-P 4 2 3'
loop_
_atom_site_label
_atom_site_type_symbol
_atom_site_fract_x
_atom_site_fract_y
_atom_site_fract_z
Al1 Al 0.000 0.000 0.000
Bi1 Bi 0.500 0.500 0.500
Sb1 Sb 0.000 0.000 0.500
```

[5]
DFT (PBE-GGA) results for a relaxed structure of TiMnPtAu2.

Its final energy is -26.259 eV/cell. As for the excess energy over the best structure of this formula in the dataset: 0 kJ/mol of formula units. The value obtained for the volume is 23.9 Å³ per atom.

Structure (CIF):
```
data_TiMnPtAu2
_chemical_formula_sum 'Ti1 Mn1 Pt1 Au2'
_cell_length_a 5.125
_cell_length_b 5.125
_cell_length_c 4.556
_cell_angle_alpha 90.00
_cell_angle_beta 90.00
_cell_angle_gamma 90.00
_symmetry_space_group_name_H-M 'P 4/m m m'
_symmetry_Int_Tables_number 123
_symmetry_space_group_name_Hall '-P 4 2'
loop_
_atom_site_label
_atom_site_type_symbol
_atom_site_fract_x
_atom_site_fract_y
_atom_site_fract_z
Ti1 Ti 0.000 0.000 0.000
Mn1 Mn 0.500 0.500 0.000
Pt1 Pt 0.000 0.000 0.500
Au1 Au 0.000 0.500 0.500
```

[6]
DFT (PBE-GGA) results for a relaxed structure of H2S.

Its final energy is -22.618 eV/cell. As for the excess energy over the best structure of this formula in the dataset: 6 kJ/mol of formula units. The value obtained for the volume is 18.8 Å³ per atom.

Structure (CIF):
```
data_H2S
_chemical_formula_sum 'H4 S2'
_cell_length_a 4.065
_cell_length_b 4.065
_cell_length_c 7.464
_cell_angle_alpha 88.18
_cell_angle_beta 87.99
_cell_angle_gamma 66.58
_symmetry_space_group_name_H-M 'P -1'
_symmetry_Int_Tables_number 2
_symmetry_space_group_name_Hall '-P 1'
loop_
_atom_site_label
_atom_site_type_symbol
_atom_site_fract_x
_atom_site_fract_y
_atom_site_fract_z
H1 H 0.073 0.137 0.336
H2 H 0.137 0.073 0.836
S1 S 0.242 0.758 0.750
```

Which formula does entry 2 have? DyTlGe

Number 4 is which compound? AlBiSb3